Density functional theory data (PBE) for a relaxed NaCrGa2Re crystal.

abc: 4.615 4.615 4.471
angles: 90.00 90.00 90.00
Space group P4/mmm (No. 123)
Symmetry-distinct sites (fractional):
1 Na 0.000 0.000 0.000 [1 per cell]
2 Cr 0.000 0.000 0.500 [1 per cell]
3 Ga 0.000 0.500 0.000 [2 per cell]
4 Re 0.500 0.500 0.500 [1 per cell]

***

Density functional theory data (PBE) for a relaxed LaZn3Ni2 crystal.

abc: 5.3096 5.3096 4.0861
angles: 90.00 90.00 120.00
Space group P6/mmm (No. 191)
Symmetry-distinct sites (fractional):
1 La 0.0000 0.0000 0.0000 [1 per cell]
2 Zn 0.0000 0.5000 0.5000 [3 per cell]
3 Ni 0.3333 0.6667 0.0000 [2 per cell]

***

Density functional theory data (PBE) for a relaxed Na5Zn2Sn4 crystal.

abc: 8.557 3.333 10.088
angles: 90.00 96.56 90.00
Space group P2/m (No. 10)
Symmetry-distinct sites (fractional):
1 Na 0.000 0.000 0.000 [1 per cell]
2 Na 0.045 0.000 0.342 [2 per cell]
3 Na 0.367 0.000 0.871 [2 per cell]
4 Zn 0.424 0.000 0.379 [2 per cell]
5 Sn 0.283 0.500 0.583 [2 per cell]
6 Sn 0.296 0.500 0.163 [2 per cell]

***

no.,energy of formation (eV/atom)
1,1.920
2,-0.361
3,-0.088